The following is a DFT calculation (GGA+U) of VBP2O after structural relaxation.

Lattice parameters (Å, degrees): 4.650 4.650 3.579 90.00 90.00 90.00
Fractional coordinates of all 5 atoms:
B  0.500  0.500  0.500
V  0.000  0.000  0.000
P  0.500  0.000  0.000
P  0.000  0.500  0.000
O  0.000  0.000  0.500

Relative energy among the computed polymorphs, meV/atom: 620
Density of states at the Fermi level, states/eV per atom: 0.48